Compound: Li4MnF8
Source: Alexandria
Functional: PBE with a Hubbard U
Structure: optimized geometry

Computed properties:
Energy relative to the lowest polymorph listed for this composition   52 meV/atom
M_tot   0.2237 μB/atom

Geometry as CIF:
```
data_Li4MnF8
_chemical_formula_sum 'Li8 Mn2 F16'
_symmetry_space_group_name_H-M 'I 4/m m m'
_symmetry_Int_Tables_number 139
_symmetry_space_group_name_Hall '-I 4 2'
_cell_length_a 5.698
_cell_length_b 5.698
_cell_length_c 8.826
_cell_angle_alpha 90.00
_cell_angle_beta 90.00
_cell_angle_gamma 90.00
loop_
_atom_site_label
_atom_site_fract_x
_atom_site_fract_y
_atom_site_fract_z
_atom_site_occupancy
Li1 0.250 0.250 0.250 1
Mn1 0.000 0.000 0.000 1
F1 0.000 0.000 0.214 1
F2 0.000 0.500 0.250 1
F3 0.226 0.226 0.000 1
```